CuAuCl2: optimized geometry, PBE.

Summary:
Its energy above the most stable polymorph in this dataset is 0.270 eV/atom. The value obtained for the density of states at the Fermi level is 1.61 states/eV/cell. The raw formation energy is 4 kJ/mol of atoms.

a b c (Å): 3.571 6.860 3.659
angles (deg): 90.00 90.00 90.00
Fractional positions:
Cu: 0.500 0.000 0.500
Cl: 0.500 0.500 0.000
Cl: 0.000 0.000 0.000
Au: 0.000 0.500 0.500